# 1
Here is a relaxed SbOsRhAu2 crystal from the Alexandria database. Energies are from GGA-PBE.

Properties
Formation energy from raw total energies   5.87 eV per formula unit

Cell: 5.0642 5.0642 4.6405 Å, 90.00 90.00 90.00°
Closest atoms and distances in Å follow each position.
Space group P4/mmm (No. 123)
Symmetry-distinct sites (fractional):
Sb  0.0000  0.0000  0.0000 (multiplicity 1)  8 Au 3.43, 4 Rh 3.58
Os  0.5000  0.5000  0.5000 (multiplicity 1)  2 Rh 2.32, 4 Au 2.53
Rh  0.5000  0.5000  0.0000 (multiplicity 1)  2 Os 2.32
Au  0.0000  0.5000  0.5000 (multiplicity 2)  2 Os 2.53

# 2
Here is a relaxed Sc2ReBr crystal from the Alexandria database. Energies are from GGA-PBE.

Properties
Formation energy from raw total energies   1.54 eV per formula unit

Cell: 6.0609 6.0609 12.1478 Å, 90.00 90.00 90.00°
Closest atoms and distances in Å follow each position.
Space group I-42d (No. 122)
Symmetry-distinct sites (fractional):
Sc  0.2005  0.2500  0.1250 (multiplicity 8)  2 Re 2.47
Re  0.0000  0.0000  0.0000 (multiplicity 4)  4 Sc 2.47
Br  0.0000  0.0000  0.5000 (multiplicity 4)  4 Sc 2.81

# 3
Here is a relaxed RbSe2S crystal from the Alexandria database. Energies are from GGA-PBE.

Properties
Formation energy from raw total energies   -0.13 eV per formula unit

Cell: 5.8226 5.8226 17.7385 Å, 90.00 90.00 120.00°
Closest atoms and distances in Å follow each position.
Space group R-3m (No. 166, hexagonal axes)
Symmetry-distinct sites (fractional):
Rb  0.0000  0.0000  0.0000 (multiplicity 3)  6 Se 3.42
Se  0.0000  0.0000  0.3701 (multiplicity 6)  1 S 2.30
S  0.0000  0.0000  0.5000 (multiplicity 3)  2 Se 2.30

# 4
Here is a relaxed MgTl4Hg4 crystal from the Alexandria database. Energies are from GGA-PBE.

Properties
Calculated formation energy   0.2 eV per formula unit

Cell: 6.5175 6.5175 13.0527 Å, 90.00 90.00 90.00°
Closest atoms and distances in Å follow each position.
Space group I-42m (No. 121)
Symmetry-distinct sites (fractional):
Mg  0.0000  0.0000  0.0000 (multiplicity 2)  4 Hg 2.83, 4 Tl 3.09
Tl  0.2307  0.2307  0.6415 (multiplicity 8)  6 Hg 3.09-3.44, 1 Mg 3.09
Hg  0.2458  0.2458  0.3778 (multiplicity 8)  1 Mg 2.83, 3 Tl 3.09-3.12

# 5
Here is a relaxed HgOs2 crystal from the Alexandria database. Energies are from GGA-PBE.

Properties
Calculated formation energy   2.7 eV per formula unit

Cell: 2.8749 14.4110 4.6901 Å, 90.00 90.00 90.00°
Closest atoms and distances in Å follow each position.
Space group Cmcm (No. 63)
Symmetry-distinct sites (fractional):
Hg  0.0000  0.1086  0.2500 (multiplicity 4)  10 Os 2.81-2.91, 2 Hg 2.87
Os  0.0000  0.2162  0.7500 (multiplicity 4)  8 Os 2.64-2.92, 4 Hg 2.81-2.91
Os  0.0000  0.4379  0.2500 (multiplicity 4)  6 Os 2.64-2.95, 6 Hg 2.83-2.85

# 6
Here is a relaxed Ba3Tl4 crystal from the Alexandria database. Energies are from GGA-PBE.

Properties
Calculated formation energy   -0.2 eV per formula unit

Cell: 7.7258 7.7258 5.8918 Å, 90.00 90.00 120.00°
Closest atoms and distances in Å follow each position.
Space group P6/mmm (No. 191)
Symmetry-distinct sites (fractional):
Ba  0.0000  0.5000  0.0000 (multiplicity 3)  4 Tl 3.69, 4 Ba 3.86
Tl  0.0000  0.0000  0.2536 (multiplicity 2)  2 Tl 2.90-2.99
Tl  0.3333  0.6667  0.5000 (multiplicity 2)  6 Ba 3.69

Which formula does entry 4 have? MgTl4Hg4